1.
VASP calculation (PBE-GGA) on DyHoSi2 after structural relaxation.

space-group type: No. 38
uncorrected energy: -5.836 eV per atom
E above lowest polymorph: 0.0020 eV per atom
magnetization: 0.0 μB/cell

Unit cell a=3.8296 b=5.6728 c=5.6728 alpha=44.16 beta=90.00 gamma=90.00
Atoms (fractional coordinates):
Si 0.5000 0.4231 0.4231
Ho 0.5000 0.1407 0.1407
Si 0.0000 0.5768 0.5768
Dy 0.0000 0.8594 0.8594



2.
VASP calculation (PBE-GGA) on KNaCdSnS4 after structural relaxation.

space-group type: No. 82
uncorrected energy: -3.813 eV per atom
E above lowest polymorph: 0.0000 eV per atom

Unit cell a=6.6995 b=6.6995 c=6.9939 alpha=121.44 beta=121.44 gamma=84.88
Atoms (fractional coordinates):
S 0.6260 0.8101 0.9103
S 0.9278 0.6878 0.5260
Sn 0.2641 0.7359 0.5000
Na 0.5144 0.4856 0.0000
Cd 0.0141 0.9859 0.0000
S 0.1899 0.3740 0.0897
S 0.3122 0.0722 0.4740
K 0.7645 0.2355 0.5000



3.
VASP calculation (PBE-GGA) on GdYSe2 after structural relaxation.

space-group type: No. 123
uncorrected energy: -6.300 eV per atom
magnetization: 0.0 μB/cell

Unit cell a=4.0929 b=4.0929 c=5.7931 alpha=90.00 beta=90.00 gamma=90.00
Atoms (fractional coordinates):
Se 0.0000 0.0000 0.0000
Gd 0.0000 0.0000 0.5000
Y 0.5000 0.5000 0.0000
Se 0.5000 0.5000 0.5000



4.
VASP calculation (PBE-GGA) on PaIrAu after structural relaxation.

space-group type: No. 216
uncorrected energy: -7.326 eV per atom
E above lowest polymorph: 0.2471 eV per atom
E_form: -121 meV/atom
magnetization: 0.0 μB/cell

Unit cell a=4.6891 b=4.6891 c=4.6891 alpha=60.00 beta=60.00 gamma=60.00
Atoms (fractional coordinates):
Pa 0.0000 0.0000 0.0000
Ir 0.7500 0.7500 0.7500
Au 0.2500 0.2500 0.2500



5.
VASP calculation (PBE-GGA) on In2Pt2O7 after structural relaxation.

space-group type: No. 12
uncorrected energy: -5.388 eV per atom
magnetization: 0.0 μB/cell

Unit cell a=5.7949 b=5.7949 c=5.1164 alpha=95.96 beta=95.96 gamma=112.39
Atoms (fractional coordinates):
O 0.4985 0.4985 0.2253
Pt 0.2233 0.2233 0.3153
O 0.5514 0.9532 0.7465
O 0.4486 0.0468 0.2535
In 0.3028 0.6972 0.0000
O 0.0468 0.4486 0.2535
Pt 0.7767 0.7767 0.6847
O 0.9532 0.5514 0.7465
O 0.5015 0.5015 0.7747
In 0.6972 0.3028 0.0000
O 0.0000 0.0000 0.5000



6.
VASP calculation (PBE-GGA) on LuHgPO after structural relaxation.

space-group type: No. 1
uncorrected energy: -5.292 eV per atom
E above lowest polymorph: 0.0000 eV per atom
magnetization: 0.0 μB/cell

Unit cell a=3.7493 b=5.8237 c=7.3908 alpha=90.16 beta=91.59 gamma=90.13
Atoms (fractional coordinates):
P 0.7543 0.0589 0.7941
Hg 0.2625 0.8460 0.9585
Hg 0.7324 0.3461 0.0411
P 0.2480 0.5604 0.2056
Lu 0.2547 0.3276 0.5775
O 0.2457 0.0208 0.4293
Lu 0.7464 0.8271 0.4231
O 0.7560 0.5210 0.5708



uncorrected energy of number 3 (GdYSe2)? -6.300 eV per atom



Number 2 is which compound? KNaCdSnS4



uncorrected energy of number 6 (LuHgPO)? -5.292 eV per atom